*one*
{
  "formula": "PAuC3",
  "functional": "PBE",
  "state": "optimized geometry",
  "lattice_angstrom": [[4.1356, 0.0000, 0.0000], [0.0000, 4.1356, 0.0000], [0.0000, 0.0000, 4.1356]],
  "species": ["P", "C", "C", "C", "Au"],
  "fractional_positions": [[0.5000, 0.5000, 0.5000], [0.0000, 0.5000, 0.0000], [0.0000, 0.0000, 0.5000], [0.5000, 0.0000, 0.0000], [0.0000, 0.0000, 0.0000]],
  "magnetic_moment_mub_per_atom": 0.31,
  "rho_g_cm3": 6.20
}

***

*two*
{
  "formula": "PAuC3",
  "functional": "PBE",
  "state": "optimized geometry",
  "lattice_angstrom": [[3.7116, 0.0000, 0.0000], [0.0000, 3.7116, 0.0000], [0.0000, 0.0000, 3.7116]],
  "species": ["P", "C", "C", "C", "Au"],
  "fractional_positions": [[0.0000, 0.0000, 0.0000], [0.0000, 0.5000, 0.0000], [0.0000, 0.0000, 0.5000], [0.5000, 0.0000, 0.0000], [0.5000, 0.5000, 0.5000]],
  "magnetic_moment_mub_per_atom": 0.00,
  "rho_g_cm3": 8.57
}

***

*two* is preferred energetically. Next in line: 1200 meV/atom higher.

***

*one*
{
  "formula": "PAuCS",
  "functional": "PBE",
  "state": "optimized geometry",
  "lattice_angstrom": [[3.1373, -0.0005, -0.0151], [1.4201, 5.3709, 0.0814], [1.1126, 1.8080, 5.3521]],
  "species": ["P", "S", "Au", "C"],
  "fractional_positions": [[0.8992, 0.9818, 0.3132], [0.1730, 0.7628, 0.6456], [0.6866, 0.4241, 0.2732], [0.4796, 0.7913, 0.3254]],
  "magnetic_moment_mub_per_atom": 0.00,
  "rho_g_cm3": 5.03
}

***

*two*
{
  "formula": "PAuCS",
  "functional": "PBE",
  "state": "optimized geometry",
  "lattice_angstrom": [[-1.4266, 0.0701, 3.8834], [3.8661, -0.0187, 2.3544], [-0.5189, 4.6083, 1.1541]],
  "species": ["P", "S", "Au", "C"],
  "fractional_positions": [[0.2184, 0.8287, 0.1739], [0.6251, 0.2147, 0.7907], [0.8148, 0.5350, 0.0735], [0.2385, 0.1660, 0.0079]],
  "magnetic_moment_mub_per_atom": 0.00,
  "rho_g_cm3": 5.36
}

***

*three*
{
  "formula": "PAuCS",
  "functional": "PBE",
  "state": "optimized geometry",
  "lattice_angstrom": [[4.5402, 0.0000, -0.0014], [0.0000, 3.6554, 0.0000], [-0.2088, 0.0000, 10.0329]],
  "species": ["P", "P", "S", "S", "Au", "Au", "C", "C"],
  "fractional_positions": [[0.8749, 0.0000, 0.7192], [0.8749, 0.5000, 0.2192], [0.0598, 0.0000, 0.5280], [0.0598, 0.5000, 0.0280], [0.5417, 0.0000, 0.2161], [0.5417, 0.5000, 0.7161], [0.2680, 0.0000, 0.6861], [0.2680, 0.5000, 0.1861]],
  "magnetic_moment_mub_per_atom": 0.00,
  "rho_g_cm3": 5.43
}

***

*one* is preferred energetically. Next in line: 132 meV/atom higher.